1.
The following is a DFT calculation (PBE-GGA) of LaMnH after structural relaxation.

Unit cell a=3.1602 b=3.5127 c=8.4418 alpha=90.00 beta=100.79 gamma=90.00
Fractional coordinates of all 6 atoms:
H (0.4541, 0.2500, 0.9081)
H (0.5459, 0.7500, 0.0919)
Mn (0.7538, 0.2500, 0.5076)
Mn (0.2462, 0.7500, 0.4924)
La (0.9025, 0.7500, 0.8050)
La (0.0975, 0.2500, 0.1950)

Computed properties:
VASP energy: -34.32 eV/cell

2.
The following is a DFT calculation (PBE-GGA) of Be2InPt after structural relaxation.

Unit cell a=3.1158 b=3.1150 c=5.7215 alpha=90.00 beta=90.00 gamma=90.00
Fractional coordinates of all 4 atoms:
Be (0.0000, 0.0000, 0.9426)
Be (0.0000, 0.0000, 0.5574)
Pt (0.5000, 0.5000, 0.7500)
In (0.5000, 0.5000, 0.2500)

Computed properties:
VASP energy: -16.89 eV/cell

3.
The following is a DFT calculation (PBE-GGA) of KLi2Eu after structural relaxation.

Unit cell a=4.0148 b=4.0148 c=9.5075 alpha=90.00 beta=90.00 gamma=90.00
Last column: magnetic moment on the atom in μB.
Fractional coordinates of all 4 atoms:
Eu (0.5000, 0.5000, 0.0000)  -6.98
K (0.5000, 0.5000, 0.5000)  0.00
Li (0.0000, 0.0000, 0.7784)  -0.01
Li (0.0000, 0.0000, 0.2216)  -0.01

Computed properties:
VASP energy: -14.65 eV/cell
energy relative to the lowest polymorph listed for this composition: 0.00 eV/f.u.

4.
The following is a DFT calculation (PBE-GGA) of BaPtW2 after structural relaxation.

Unit cell a=4.9392 b=4.9392 c=6.7420 alpha=78.73 beta=78.73 gamma=37.58
Fractional coordinates of all 4 atoms:
W (0.0013, 0.0013, 0.9752)
W (0.7108, 0.7108, 0.8804)
Pt (0.2783, 0.2783, 0.1642)
Ba (0.5096, 0.5096, 0.4802)

Computed properties:
VASP energy: -31.45 eV/cell
energy relative to the lowest polymorph listed for this composition: 0.71 eV/f.u.

5.
The following is a DFT calculation (PBE-GGA) of BaY4Ir after structural relaxation.

Unit cell a=6.3732 b=6.3732 c=6.3732 alpha=60.00 beta=60.00 gamma=60.00
Last column: magnetic moment on the atom in μB.
Fractional coordinates of all 6 atoms:
Ba (0.7500, 0.7500, 0.7500)  0.05
Y (0.8808, 0.3731, 0.3731)  0.09
Y (0.3731, 0.3731, 0.8808)  0.09
Y (0.3731, 0.8808, 0.3731)  0.09
Y (0.3731, 0.3731, 0.3731)  0.09
Ir (0.0000, 0.0000, 0.0000)  0.02

Computed properties:
VASP energy: -32.53 eV/cell

6.
The following is a DFT calculation (PBE-GGA) of ScB3Pb after structural relaxation.

Unit cell a=4.5517 b=4.5517 c=4.5517 alpha=90.00 beta=90.00 gamma=90.00
Fractional coordinates of all 5 atoms:
Pb (0.0000, 0.0000, 0.0000)
Sc (0.5000, 0.5000, 0.5000)
B (0.0000, 0.5000, 0.0000)
B (0.0000, 0.0000, 0.5000)
B (0.5000, 0.0000, 0.0000)

Computed properties:
VASP energy: -19.57 eV/cell
energy relative to the lowest polymorph listed for this composition: 1.89 eV/f.u.

7.
The following is a DFT calculation (PBE-GGA) of Pm2Ni5Pt5 after structural relaxation.

Unit cell a=4.2357 b=5.1134 c=9.1517 alpha=90.00 beta=90.00 gamma=90.00
Last column: magnetic moment on the atom in μB.
Fractional coordinates of all 12 atoms:
Pm (0.0000, 0.5000, 0.0000)  -0.02
Pm (0.0000, 0.0000, 0.5000)  -0.03
Ni (0.5000, 0.5000, 0.5000)  0.40
Ni (0.5000, 0.7484, 0.2569)  0.34
Ni (0.5000, 0.2516, 0.7431)  0.34
Ni (0.5000, 0.2516, 0.2569)  0.34
Ni (0.5000, 0.7484, 0.7431)  0.34
Pt (0.0000, 0.5000, 0.3344)  0.08
Pt (0.0000, 0.0000, 0.8200)  0.06
Pt (0.0000, 0.0000, 0.1800)  0.06
Pt (0.0000, 0.5000, 0.6656)  0.08
Pt (0.5000, 0.0000, 0.0000)  0.08

Computed properties:
VASP energy: -75.30 eV/cell

8.
The following is a DFT calculation (PBE-GGA) of TaAlCr after structural relaxation.

Unit cell a=5.0061 b=5.0061 c=5.0061 alpha=90.24 beta=58.58 gamma=118.88
Fractional coordinates of all 6 atoms:
Ta (0.7500, 0.8736, 0.3764)
Ta (0.2500, 0.1264, 0.6236)
Al (0.5000, 0.0000, 0.0000)
Al (0.0000, 0.5000, 0.0000)
Cr (0.0000, 0.5000, 0.5000)
Cr (0.5000, 0.5000, 0.0000)

Computed properties:
VASP energy: -51.57 eV/cell
energy relative to the lowest polymorph listed for this composition: 0.00 eV/f.u.

9.
The following is a DFT calculation (PBE-GGA) of LiSb2Rh4 after structural relaxation.

Unit cell a=4.1772 b=4.1772 c=7.3101 alpha=73.40 beta=73.40 gamma=90.00
Fractional coordinates of all 7 atoms:
Sb (0.3678, 0.3678, 0.2644)
Sb (0.6322, 0.6322, 0.7356)
Rh (0.1801, 0.1801, 0.6399)
Rh (0.8199, 0.8199, 0.3601)
Rh (0.0000, 0.5000, 0.0000)
Rh (0.5000, 0.0000, 0.0000)
Li (0.0000, 0.0000, 0.0000)

Computed properties:
formation energy without anion corrections: 0.5 eV/f.u.
VASP energy: -39.09 eV/cell
energy relative to the lowest polymorph listed for this composition: 4.00 eV/f.u.

10.
The following is a DFT calculation (PBE-GGA) of MgZn2Fe2 after structural relaxation.

Unit cell a=7.3036 b=7.3036 c=2.7034 alpha=90.00 beta=90.00 gamma=90.00
Last column: magnetic moment on the atom in μB.
Fractional coordinates of all 10 atoms:
Mg (0.0000, 0.0000, 0.0000)  -0.01
Mg (0.5000, 0.5000, 0.0000)  -0.01
Zn (0.1792, 0.6792, 0.5000)  -0.07
Zn (0.6792, 0.8208, 0.5000)  -0.07
Zn (0.8208, 0.3208, 0.5000)  -0.07
Zn (0.3208, 0.1792, 0.5000)  -0.07
Fe (0.3854, 0.8854, 0.0000)  2.24
Fe (0.8854, 0.6146, 0.0000)  2.22
Fe (0.6146, 0.1146, 0.0000)  2.24
Fe (0.1146, 0.3854, 0.0000)  2.22

Computed properties:
VASP energy: -40.97 eV/cell
energy relative to the lowest polymorph listed for this composition: 0.00 eV/f.u.

11.
The following is a DFT calculation (PBE-GGA) of LaSc2TiRh after structural relaxation.

Unit cell a=4.7548 b=5.4569 c=4.7548 alpha=90.00 beta=90.00 gamma=90.00
Fractional coordinates of all 5 atoms:
Sc (0.0000, 0.0000, 0.5000)
Sc (0.5000, 0.0000, 0.0000)
Ti (0.0000, 0.0000, 0.0000)
Rh (0.5000, 0.5000, 0.5000)
La (0.0000, 0.5000, 0.0000)

Computed properties:
VASP energy: -29.31 eV/cell

12.
The following is a DFT calculation (PBE-GGA) of PaGePN after structural relaxation.

Unit cell a=3.8223 b=3.8223 c=9.7393 alpha=90.00 beta=90.00 gamma=90.00
Fractional coordinates of all 8 atoms:
Pa (0.5000, 0.0000, 0.6272)
Pa (0.0000, 0.5000, 0.3728)
Ge (0.5000, 0.5000, 0.0000)
Ge (0.0000, 0.0000, 0.0000)
P (0.0000, 0.5000, 0.7666)
P (0.5000, 0.0000, 0.2334)
N (0.0000, 0.0000, 0.5000)
N (0.5000, 0.5000, 0.5000)

Computed properties:
formation energy without anion corrections: -3.5 eV/f.u.
VASP energy: -62.64 eV/cell

What did we get for density of states at the Fermi level? Answer: 0.965; 0.254; 2.834; 0.650; 1.699; 0.785; 0.994; 0.833; 0.727; 0.647; 1.016; 0.353 states/eV per atom, in the order shown.